(1)
Density functional theory data (PBE) for a geometry-optimized RbHfIn structure.

Output
raw total energy = -48.8 eV per cell
energy of formation = 1.467 eV/f.u.
magnetic moment = 0.0 μB per cell

```
12
Lattice="9.3743 0.0000 0.0000 0.0000 4.9368 0.0000 0.0000 0.0000 8.6734" Properties=species:S:1:pos:R:3 pbc="T T T"
Rb 0.1946 1.2342 1.1542
Rb 4.4925 3.7026 5.4909
Rb 4.8818 1.2342 3.1825
Rb 9.1797 3.7026 7.5192
Hf 0.8934 3.7026 3.9485
Hf 3.7938 1.2342 8.2853
Hf 5.5805 3.7026 0.3882
Hf 8.4810 1.2342 4.7249
In 1.7866 1.2342 5.7354
In 2.9006 3.7026 1.3987
In 6.4738 1.2342 7.2747
In 7.5877 3.7026 2.9380
```

***

(2)
Density functional theory data (PBE) for a geometry-optimized La2CuSe structure.

Output
raw total energy = -18.1 eV per cell
energy relative to the elements, uncorrected = -0.66 eV per formula unit
magnetic moment = 0.0 μB per cell

```
4
Lattice="0.0000 3.6419 3.6419 3.6419 0.0000 3.6419 3.6419 3.6419 0.0000" Properties=species:S:1:pos:R:3 pbc="T T T"
La 0.0000 0.0000 0.0000
La 1.8210 1.8210 1.8210
Cu 3.6419 3.6419 3.6419
Se 5.4629 5.4629 5.4629
```